Record 1
The following is a PBE calculation of a relaxed Ac8Ni3PCl4 crystal, from Alexandria via LeMat-Bulk.

Cell and atoms, written as CIF:
```
data_Ac8Ni3PCl4
_chemical_formula_sum 'Ac8 Ni3 P1 Cl4'
_cell_length_a 8.6786
_cell_length_b 9.1680
_cell_length_c 8.6799
_cell_angle_alpha 118.27
_cell_angle_beta 119.99
_cell_angle_gamma 90.00
_symmetry_space_group_name_H-M 'P 1'
_symmetry_Int_Tables_number 1
_symmetry_space_group_name_Hall 'P 1'
loop_
_atom_site_label
_atom_site_fract_x
_atom_site_fract_y
_atom_site_fract_z
Cl1 0.0000 0.0000 0.5000
Ac1 0.7344 0.7031 0.4688
Ac2 0.2656 0.2969 0.5312
P1 0.0000 0.5000 0.0000
Ac3 0.2698 0.2870 0.0284
Ac4 0.7302 0.7130 0.9716
Ac5 0.7586 0.2871 0.5172
Ni1 0.5000 0.5000 0.5000
Ac6 0.2414 0.7129 0.4828
Cl2 0.5000 0.0000 0.5000
Cl3 0.0000 0.0000 0.0000
Cl4 0.5000 0.0000 0.0000
Ni2 0.0000 0.5000 0.5000
Ac7 0.7586 0.2870 0.0284
Ni3 0.5000 0.5000 0.0000
Ac8 0.2414 0.7130 0.9716
```

Volume (Å³/atom): 31.3
Fermi-level density of states (states/eV/cell): 13.5
Total energy (eV for the cell shown): -79.858
Formation energy without anion corrections (eV/f.u.): -16.85

---

Record 2
The following is a PBE calculation of a relaxed SrTl3Hg3 crystal, from Alexandria via LeMat-Bulk.

Cell and atoms, written as CIF:
```
data_SrTl3Hg3
_chemical_formula_sum 'Sr2 Tl6 Hg6'
_cell_length_a 8.2699
_cell_length_b 8.2699
_cell_length_c 8.2699
_cell_angle_alpha 90.00
_cell_angle_beta 90.00
_cell_angle_gamma 90.00
_symmetry_space_group_name_H-M 'P 1'
_symmetry_Int_Tables_number 1
_symmetry_space_group_name_Hall 'P 1'
loop_
_atom_site_label
_atom_site_fract_x
_atom_site_fract_y
_atom_site_fract_z
Hg1 0.5000 0.0000 0.7500
Tl1 0.5000 0.7500 0.0000
Tl2 0.7500 0.0000 0.5000
Tl3 0.2500 0.0000 0.5000
Hg2 0.0000 0.2500 0.5000
Sr1 0.0000 0.0000 0.0000
Sr2 0.5000 0.5000 0.5000
Tl4 0.5000 0.2500 0.0000
Hg3 0.5000 0.0000 0.2500
Hg4 0.0000 0.7500 0.5000
Hg5 0.7500 0.5000 0.0000
Hg6 0.2500 0.5000 0.0000
Tl5 0.0000 0.5000 0.2500
Tl6 0.0000 0.5000 0.7500
```

Volume (Å³/atom): 40.4
Energy above the most stable polymorph in this dataset (meV/atom): 300
Fermi-level density of states (states/eV/cell): 8.3
Formation energy (kcal/mol of atoms): 2.773
Total energy (eV for the cell shown): -17.689

---

Record 3
The following is a PBE calculation of a relaxed AcMgGe crystal, from Alexandria via LeMat-Bulk.

Cell and atoms, written as CIF:
```
data_AcMgGe
_chemical_formula_sum 'Ac1 Mg1 Ge1'
_cell_length_a 5.0518
_cell_length_b 5.0518
_cell_length_c 5.0518
_cell_angle_alpha 60.00
_cell_angle_beta 60.00
_cell_angle_gamma 60.00
_symmetry_space_group_name_H-M 'P 1'
_symmetry_Int_Tables_number 1
_symmetry_space_group_name_Hall 'P 1'
loop_
_atom_site_label
_atom_site_fract_x
_atom_site_fract_y
_atom_site_fract_z
Ge1 0.2500 0.2500 0.2500
Ac1 0.5000 0.5000 0.5000
Mg1 0.0000 0.0000 0.0000
```

Volume (Å³/atom): 30.4
Energy above the most stable polymorph in this dataset (meV/atom): 177
Fermi-level density of states (states/eV/cell): 1.9
Formation energy (kcal/mol of atoms): -8.730
Total energy (eV for the cell shown): -11.456

---

Record 4
The following is a PBE calculation of a relaxed K2MnCdNi crystal, from Alexandria via LeMat-Bulk.

Cell and atoms, written as CIF:
```
data_K2MnCdNi
_chemical_formula_sum 'K2 Mn1 Cd1 Ni1'
_cell_length_a 6.4751
_cell_length_b 4.8318
_cell_length_c 6.4751
_cell_angle_alpha 90.00
_cell_angle_beta 90.00
_cell_angle_gamma 90.00
_symmetry_space_group_name_H-M 'P 1'
_symmetry_Int_Tables_number 1
_symmetry_space_group_name_Hall 'P 1'
loop_
_atom_site_label
_atom_site_fract_x
_atom_site_fract_y
_atom_site_fract_z
Ni1 0.0000 0.5000 0.0000
K1 0.5000 0.0000 0.0000
Mn1 0.5000 0.5000 0.5000
K2 0.0000 0.0000 0.5000
Cd1 0.0000 0.0000 0.0000
```

Volume (Å³/atom): 40.5
Fermi-level density of states (states/eV/cell): 5.1
Formation energy (kcal/mol of atoms): 21.864
Total energy (eV for the cell shown): -13.320

---

Record 5
The following is a PBE calculation of a relaxed Ba2BeCl crystal, from Alexandria via LeMat-Bulk.

Cell and atoms, written as CIF:
```
data_Ba2BeCl
_chemical_formula_sum 'Ba2 Be1 Cl1'
_cell_length_a 8.6495
_cell_length_b 8.6495
_cell_length_c 8.6495
_cell_angle_alpha 30.66
_cell_angle_beta 30.66
_cell_angle_gamma 30.66
_symmetry_space_group_name_H-M 'P 1'
_symmetry_Int_Tables_number 1
_symmetry_space_group_name_Hall 'P 1'
loop_
_atom_site_label
_atom_site_fract_x
_atom_site_fract_y
_atom_site_fract_z
Ba1 0.5037 0.5037 0.5037
Ba2 0.9963 0.9963 0.9963
Cl1 0.7500 0.7500 0.7500
Be1 0.2500 0.2500 0.2500
```

Volume (Å³/atom): 37.3
Energy above the most stable polymorph in this dataset (meV/atom): 2
Fermi-level density of states (states/eV/cell): 3.0
Total energy (eV for the cell shown): -11.697
Formation energy without anion corrections (eV/f.u.): -2.28

---

Record 6
The following is a PBE calculation of a relaxed Rb2PaAuO6 crystal, from Alexandria via LeMat-Bulk.

Cell and atoms, written as CIF:
```
data_Rb2PaAuO6
_chemical_formula_sum 'Rb2 Pa1 Au1 O6'
_cell_length_a 5.9764
_cell_length_b 5.9763
_cell_length_c 5.9764
_cell_angle_alpha 60.00
_cell_angle_beta 60.00
_cell_angle_gamma 60.00
_symmetry_space_group_name_H-M 'P 1'
_symmetry_Int_Tables_number 1
_symmetry_space_group_name_Hall 'P 1'
loop_
_atom_site_label
_atom_site_fract_x
_atom_site_fract_y
_atom_site_fract_z
O1 0.0710 0.0710 0.2967
O2 0.5613 0.5613 0.8064
Au1 0.3162 0.3162 0.0515
Pa1 0.8162 0.8162 0.5515
Rb1 0.0662 0.0662 0.8015
O3 0.0710 0.5613 0.8064
O4 0.0710 0.5613 0.2966
O5 0.5613 0.0710 0.2966
Rb2 0.5661 0.5661 0.3015
O6 0.5614 0.0710 0.8064
```

Volume (Å³/atom): 15.1
Total energy (eV for the cell shown): -61.752
Formation energy without anion corrections (eV/f.u.): -17.29

---

Record 7
The following is a PBE calculation of a relaxed KLi2SnCl8 crystal, from Alexandria via LeMat-Bulk.

Cell and atoms, written as CIF:
```
data_KLi2SnCl8
_chemical_formula_sum 'K1 Li2 Sn1 Cl8'
_cell_length_a 6.2976
_cell_length_b 5.6432
_cell_length_c 8.8100
_cell_angle_alpha 89.69
_cell_angle_beta 89.95
_cell_angle_gamma 91.43
_symmetry_space_group_name_H-M 'P 1'
_symmetry_Int_Tables_number 1
_symmetry_space_group_name_Hall 'P 1'
loop_
_atom_site_label
_atom_site_fract_x
_atom_site_fract_y
_atom_site_fract_z
Cl1 0.6702 0.7433 0.9998
Cl2 0.1602 0.7644 0.7972
Cl3 0.4810 0.2574 0.4996
Cl4 0.8410 0.2382 0.7962
K1 0.0000 0.0000 0.5000
Cl5 0.1590 0.7618 0.2038
Li1 0.5007 0.5000 0.7825
Sn1 0.0000 0.0000 0.0000
Cl6 0.5190 0.7426 0.5004
Li2 0.4993 0.5000 0.2175
Cl7 0.3298 0.2567 0.0002
Cl8 0.8398 0.2356 0.2028
```

Volume (Å³/atom): 26.1
Fermi-level density of states (states/eV/cell): 1.4
Total energy (eV for the cell shown): -38.562
Formation energy without anion corrections (eV/f.u.): -14.86

---

Record 8
The following is a PBE calculation of a relaxed Ti2VP crystal, from Alexandria via LeMat-Bulk.

Cell and atoms, written as CIF:
```
data_Ti2VP
_chemical_formula_sum 'Ti4 V2 P2'
_cell_length_a 7.2824
_cell_length_b 7.2824
_cell_length_c 5.6759
_cell_angle_alpha 50.10
_cell_angle_beta 50.10
_cell_angle_gamma 90.00
_symmetry_space_group_name_H-M 'P 1'
_symmetry_Int_Tables_number 1
_symmetry_space_group_name_Hall 'P 1'
loop_
_atom_site_label
_atom_site_fract_x
_atom_site_fract_y
_atom_site_fract_z
P1 0.2500 0.7500 0.5000
Ti1 0.8750 0.8300 0.7500
V1 0.7500 0.2500 0.5000
Ti2 0.3750 0.4200 0.7500
Ti3 0.5800 0.1250 0.2500
V2 0.0000 0.0000 0.0000
Ti4 0.1700 0.6250 0.2500
P2 0.5000 0.5000 0.0000
```

Volume (Å³/atom): 15.8
Fermi-level density of states (states/eV/cell): 6.7
Formation energy (kcal/mol of atoms): -2.277
Total energy (eV for the cell shown): -61.426

---

In the order shown, the computed magnetization values come out to 0.000; 0.000; 0.000; 0.927; 0.230; 0.000; 0.019; 0.000 μB/atom.